1.
Entry from Alexandria: NaSbH after structural relaxation (PBE-GGA).

Properties
SG: Pm, No. 6

Unit cell a=3.341 b=9.383 c=6.902 alpha=37.26 beta=89.95 gamma=89.96
Fractional positions:
Na: 0.087 0.870 0.646
Na: 0.088 0.460 0.551
H: 0.587 0.894 0.350
H: 0.587 0.438 0.849
Sb: 0.587 0.364 0.178
Sb: 0.588 0.966 0.023


2.
Entry from Alexandria: Na2SbH2 after structural relaxation (PBE-GGA).

Properties
SG: I4/mmm, No. 139

Unit cell a=4.020 b=4.020 c=6.043 alpha=70.57 beta=70.57 gamma=90.00
Fractional positions:
Sb: 0.000 0.000 0.000
Na: 0.331 0.331 0.337
Na: 0.669 0.669 0.663
H: 0.750 0.250 0.500
H: 0.250 0.750 0.500


3.
Entry from Alexandria: Na2SbH after structural relaxation (PBE-GGA).

Properties
SG: P2_1/c, No. 14

Unit cell a=8.078 b=5.089 c=9.778 alpha=92.11 beta=90.00 gamma=90.00
Fractional positions:
Na: 0.156 0.201 0.551
Na: 0.924 0.828 0.825
Na: 0.424 0.672 0.675
Na: 0.344 0.701 0.051
Na: 0.656 0.299 0.949
Na: 0.076 0.172 0.175
Na: 0.844 0.799 0.449
Na: 0.576 0.328 0.325
H: 0.065 0.499 0.372
H: 0.435 0.999 0.872
H: 0.565 0.001 0.128
H: 0.935 0.501 0.628
Sb: 0.253 0.193 0.862
Sb: 0.247 0.693 0.362
Sb: 0.747 0.807 0.138
Sb: 0.753 0.307 0.638


What are the energy values for these records? In order: -3.0068 -2.4275 -2.7739 eV per atom.
What are the total moment values for these records? In order: 0.00 0.00 0.00 μB/f.u..